1.
CsGe4Pt9: relaxed, GGA-PBE.

The value obtained for the volume is 18.1 Å³ per atom. The total moment comes out at 0.00 μB per atom. For the density of states at the Fermi level, the calculation gives 7.12 states/eV/f.u. Its symmetry is I4/mcm, No. 140. The calculation puts the energy of formation at -254 meV per atom.

Unit cell a=8.9719 b=8.9719 c=8.9719 alpha=120.59 beta=120.59 gamma=88.98
Fractional coordinates of all 28 atoms:
1 Cs 0.2500 0.2500 0.0000
2 Cs 0.7500 0.7500 0.0000
3 Ge 0.0469 0.5469 0.8374
4 Ge 0.2095 0.0469 0.5000
5 Ge 0.2905 0.7905 0.8374
6 Ge 0.4531 0.2905 0.5000
7 Ge 0.5469 0.7095 0.5000
8 Ge 0.7095 0.2095 0.1626
9 Ge 0.7905 0.9531 0.5000
10 Ge 0.9531 0.4531 0.1626
11 Pt 0.0000 0.5000 0.5000
12 Pt 0.0539 0.8205 0.5000
13 Pt 0.0904 0.1934 0.2837
14 Pt 0.1795 0.6795 0.2334
15 Pt 0.1934 0.9096 0.1030
16 Pt 0.3066 0.4096 0.7163
17 Pt 0.3205 0.5539 0.5000
18 Pt 0.4096 0.6934 0.1030
19 Pt 0.4461 0.9461 0.7666
20 Pt 0.5000 0.0000 0.5000
21 Pt 0.5539 0.0539 0.2334
22 Pt 0.5904 0.3066 0.8970
23 Pt 0.6795 0.4461 0.5000
24 Pt 0.6934 0.5904 0.2837
25 Pt 0.8066 0.0904 0.8970
26 Pt 0.8205 0.3205 0.7666
27 Pt 0.9096 0.8066 0.7163
28 Pt 0.9461 0.1795 0.5000



2.
Nb2InB: relaxed, GGA-PBE.

The value obtained for the volume is 16.8 Å³ per atom. The total moment comes out at 0.00 μB per atom. For the density of states at the Fermi level, the calculation gives 0.44 states/eV/f.u. Its symmetry is I-42d, No. 122. The calculation puts the energy of formation at 264 meV per atom.

Unit cell a=6.9142 b=6.9142 c=5.6344 alpha=90.00 beta=90.00 gamma=90.00
Fractional coordinates of all 16 atoms:
1 Nb 0.1964 0.2500 0.1250
2 Nb 0.2500 0.6964 0.3750
3 Nb 0.2500 0.8036 0.8750
4 Nb 0.3036 0.2500 0.6250
5 Nb 0.6964 0.7500 0.6250
6 Nb 0.7500 0.1964 0.8750
7 Nb 0.7500 0.3036 0.3750
8 Nb 0.8036 0.7500 0.1250
9 In 0.0000 0.0000 0.5000
10 In 0.0000 0.5000 0.7500
11 In 0.5000 0.0000 0.2500
12 In 0.5000 0.5000 0.0000
13 B 0.0000 0.0000 0.0000
14 B 0.0000 0.5000 0.2500
15 B 0.5000 0.0000 0.7500
16 B 0.5000 0.5000 0.5000



3.
NiRu2Rh2: relaxed, GGA-PBE.

The value obtained for the volume is 13.5 Å³ per atom. The total moment comes out at 0.00 μB per atom. For the density of states at the Fermi level, the calculation gives 7.16 states/eV/f.u. Its symmetry is C2/c, No. 15. The calculation puts the energy of formation at 56 meV per atom.

Unit cell a=5.0990 b=5.0990 c=6.8576 alpha=108.59 beta=108.59 gamma=54.31
Fractional coordinates of all 10 atoms:
1 Ni 0.1705 0.8295 0.7500
2 Ni 0.8295 0.1705 0.2500
3 Ru 0.2317 0.5678 0.0523
4 Ru 0.4322 0.7683 0.4477
5 Ru 0.5678 0.2317 0.5523
6 Ru 0.7683 0.4322 0.9477
7 Rh 0.0312 0.3606 0.6455
8 Rh 0.3606 0.0312 0.1455
9 Rh 0.6394 0.9688 0.8545
10 Rh 0.9688 0.6394 0.3545



4.
LaSi3C: relaxed, GGA-PBE.

The value obtained for the volume is 16.8 Å³ per atom. The total moment comes out at 0.00 μB per atom. For the density of states at the Fermi level, the calculation gives 3.15 states/eV/f.u. Its symmetry is Pm-3m, No. 221.

Unit cell a=4.3816 b=4.3816 c=4.3816 alpha=90.00 beta=90.00 gamma=90.00
Fractional coordinates of all 5 atoms:
1 La 0.0000 0.0000 0.0000
2 Si 0.0000 0.5000 0.5000
3 Si 0.5000 0.0000 0.5000
4 Si 0.5000 0.5000 0.0000
5 C 0.5000 0.5000 0.5000



5.
BaGaNi2P6: relaxed, GGA-PBE.

The value obtained for the volume is 23.8 Å³ per atom. The total moment comes out at 0.00 μB per atom. For the density of states at the Fermi level, the calculation gives 4.77 states/eV/f.u. Its symmetry is R-3m, No. 166. The calculation puts the energy of formation at -77 meV per atom.

Unit cell a=8.8611 b=8.8611 c=8.8611 alpha=38.12 beta=38.12 gamma=38.12
Fractional coordinates of all 10 atoms:
1 Ba 0.0000 0.0000 0.0000
2 Ga 0.5000 0.5000 0.5000
3 Ni 0.2751 0.2751 0.2751
4 Ni 0.7249 0.7249 0.7249
5 P 0.1526 0.5459 0.5459
6 P 0.4541 0.4541 0.8474
7 P 0.4541 0.8474 0.4541
8 P 0.5459 0.1526 0.5459
9 P 0.5459 0.5459 0.1526
10 P 0.8474 0.4541 0.4541



6.
ScMoBr2: relaxed, GGA-PBE.

The value obtained for the volume is 19.3 Å³ per atom. The total moment comes out at 0.73 μB per atom. For the density of states at the Fermi level, the calculation gives 2.39 states/eV/f.u. Its symmetry is Fm-3m, No. 225.

Unit cell a=6.7647 b=6.7647 c=6.7647 alpha=90.00 beta=90.00 gamma=90.00
Fractional coordinates of all 16 atoms:
1 Sc 0.0000 0.0000 0.0000
2 Sc 0.0000 0.5000 0.5000
3 Sc 0.5000 0.0000 0.5000
4 Sc 0.5000 0.5000 0.0000
5 Mo 0.0000 0.0000 0.5000
6 Mo 0.0000 0.5000 0.0000
7 Mo 0.5000 0.0000 0.0000
8 Mo 0.5000 0.5000 0.5000
9 Br 0.2500 0.2500 0.2500
10 Br 0.2500 0.2500 0.7500
11 Br 0.2500 0.7500 0.2500
12 Br 0.2500 0.7500 0.7500
13 Br 0.7500 0.2500 0.2500
14 Br 0.7500 0.2500 0.7500
15 Br 0.7500 0.7500 0.2500
16 Br 0.7500 0.7500 0.7500



7.
Mg2ZnAgH: relaxed, GGA-PBE.

The value obtained for the volume is 15.1 Å³ per atom. The total moment comes out at 0.00 μB per atom. For the density of states at the Fermi level, the calculation gives 1.05 states/eV/f.u. Its symmetry is P4/mmm, No. 123.

Unit cell a=4.5803 b=4.5803 c=3.5926 alpha=90.00 beta=90.00 gamma=90.00
Fractional coordinates of all 5 atoms:
1 Mg 0.0000 0.5000 0.0000
2 Mg 0.5000 0.0000 0.0000
3 Zn 0.0000 0.0000 0.5000
4 Ag 0.5000 0.5000 0.5000
5 H 0.0000 0.0000 0.0000



8.
IrOsN2: relaxed, GGA-PBE.

The value obtained for the volume is 11.1 Å³ per atom. The total moment comes out at 0.00 μB per atom. For the density of states at the Fermi level, the calculation gives 3.01 states/eV/f.u. Its symmetry is R-3m, No. 166.

Unit cell a=2.7938 b=2.7938 c=19.7200 alpha=90.00 beta=90.00 gamma=120.00
Fractional coordinates of all 12 atoms:
1 Ir 0.0000 0.0000 0.0000
2 Ir 0.3333 0.6667 0.6667
3 Ir 0.6667 0.3333 0.3333
4 Os 0.0000 0.0000 0.5000
5 Os 0.3333 0.6667 0.1667
6 Os 0.6667 0.3333 0.8333
7 N 0.0000 0.0000 0.0996
8 N 0.0000 0.0000 0.9004
9 N 0.3333 0.6667 0.5671
10 N 0.3333 0.6667 0.7663
11 N 0.6667 0.3333 0.2337
12 N 0.6667 0.3333 0.4329



9.
Ac5LaSm2Ho: relaxed, GGA-PBE.

The value obtained for the volume is 40.9 Å³ per atom. The total moment comes out at 0.00 μB per atom. For the density of states at the Fermi level, the calculation gives 14.81 states/eV/f.u. Its symmetry is Cmc2_1, No. 36. The calculation puts the energy of formation at 154 meV per atom.

Unit cell a=11.2892 b=11.2892 c=11.2679 alpha=90.00 beta=90.00 gamma=149.18
Fractional coordinates of all 18 atoms:
1 Ac 0.0117 0.9883 0.5000
2 Ac 0.2759 0.7241 0.8098
3 Ac 0.2981 0.7019 0.1907
4 Ac 0.3729 0.6271 0.5056
5 Ac 0.4863 0.5137 0.2330
6 Ac 0.5137 0.4863 0.7330
7 Ac 0.6271 0.3729 0.0056
8 Ac 0.7019 0.2981 0.6907
9 Ac 0.7241 0.2759 0.3098
10 Ac 0.9883 0.0117 0.0000
11 La 0.4074 0.5926 0.9497
12 La 0.5926 0.4074 0.4497
13 Sm 0.1135 0.8865 0.7884
14 Sm 0.1163 0.8837 0.2310
15 Sm 0.8837 0.1163 0.7310
16 Sm 0.8865 0.1135 0.2884
17 Ho 0.1904 0.8096 0.5013
18 Ho 0.8096 0.1904 0.0013



10.
RbBe2Nb: relaxed, GGA-PBE.

The value obtained for the volume is 24.6 Å³ per atom. The total moment comes out at 0.00 μB per atom. For the density of states at the Fermi level, the calculation gives 1.88 states/eV/f.u. Its symmetry is I-42d, No. 122. The calculation puts the energy of formation at 1514 meV per atom.

Unit cell a=7.4147 b=7.4147 c=7.1454 alpha=90.00 beta=90.00 gamma=90.00
Fractional coordinates of all 16 atoms:
1 Rb 0.0000 0.0000 0.0000
2 Rb 0.0000 0.5000 0.2500
3 Rb 0.5000 0.0000 0.7500
4 Rb 0.5000 0.5000 0.5000
5 Be 0.1678 0.2500 0.6250
6 Be 0.2500 0.6678 0.8750
7 Be 0.2500 0.8322 0.3750
8 Be 0.3322 0.2500 0.1250
9 Be 0.6678 0.7500 0.1250
10 Be 0.7500 0.1678 0.3750
11 Be 0.7500 0.3322 0.8750
12 Be 0.8322 0.7500 0.6250
13 Nb 0.0000 0.0000 0.5000
14 Nb 0.0000 0.5000 0.7500
15 Nb 0.5000 0.0000 0.2500
16 Nb 0.5000 0.5000 0.0000



11.
ZnIN2O: relaxed, GGA-PBE.

The value obtained for the volume is 13.1 Å³ per atom. The total moment comes out at 0.03 μB per atom. For the density of states at the Fermi level, the calculation gives 1.19 states/eV/f.u. Its symmetry is P4/mmm, No. 123.

Unit cell a=4.0698 b=4.0698 c=3.9693 alpha=90.00 beta=90.00 gamma=90.00
Fractional coordinates of all 5 atoms:
1 Zn 0.0000 0.0000 0.0000
2 I 0.5000 0.5000 0.5000
3 N 0.0000 0.5000 0.5000
4 N 0.5000 0.0000 0.5000
5 O 0.5000 0.5000 0.0000



12.
MnNb2AuN: relaxed, GGA-PBE.

The value obtained for the volume is 14.2 Å³ per atom. The total moment comes out at 0.00 μB per atom. For the density of states at the Fermi level, the calculation gives 4.97 states/eV/f.u. Its symmetry is P4/mmm, No. 123.

Unit cell a=4.3012 b=4.3012 c=3.8260 alpha=90.00 beta=90.00 gamma=90.00
Fractional coordinates of all 5 atoms:
1 Mn 0.0000 0.0000 0.0000
2 Nb 0.0000 0.5000 0.5000
3 Nb 0.5000 0.0000 0.5000
4 Au 0.5000 0.5000 0.0000
5 N 0.0000 0.0000 0.5000



Quick rundown of VASP energy, same order as above: -5.52; -7.12; -7.75; -5.54; -4.97; -4.94; -2.17; -8.68; -4.23; -3.11; -3.44; -8.56 eV per atom